A plane-wave DFT calculation with GGA-PBE was carried out for crystalline Na2BeCu3Ge4 at its relaxed geometry.

It has space group P-4m2 (No. 115), with a = 4.067 Å, b = 4.067 Å, c = 10.465 Å, α = 90.00°, β = 90.00° and γ = 90.00°. The inequivalent atoms are Na at (0.000, 0.500, 0.240), Be at (0.500, 0.500, 0.000), Cu at (0.000, 0.000, 0.000), Cu at (0.000, 0.500, 0.642), Ge at (0.000, 0.000, 0.500), Ge at (0.000, 0.500, 0.874) and Ge at (0.500, 0.500, 0.500).

The calculation puts the formation enthalpy at 0 K at 0.021 eV per atom. For the theoretical density, the calculation gives 5.14 g/cm3. For the total magnetic moment, the calculation gives 0.0 μB/cell. The value obtained for the calculated volume is 17.31 Å³ per atom.

A plane-wave DFT calculation with GGA-PBE was carried out for crystalline NdBeCuGe2 at its relaxed geometry.

It has space group I-4m2 (No. 119), with a = 4.098 Å, b = 4.098 Å, c = 10.248 Å, α = 90.00°, β = 90.00° and γ = 90.00°. The inequivalent atoms are Nd at (0.000, 0.000, 0.000), Be at (0.000, 0.500, 0.250), Cu at (0.000, 0.500, 0.750) and Ge at (0.000, 0.000, 0.375).

The calculation puts the formation enthalpy at 0 K at -0.431 eV per atom. For the theoretical density, the calculation gives 6.99 g/cm3. For the total magnetic moment, the calculation gives 0.0 μB/cell. The value obtained for the calculated volume is 17.21 Å³ per atom.

A plane-wave DFT calculation with GGA-PBE was carried out for crystalline Nd2BeCu3Ge4 at its relaxed geometry.

It has space group P-4m2 (No. 115), with a = 4.155 Å, b = 4.155 Å, c = 10.150 Å, α = 90.00°, β = 90.00° and γ = 90.00°. The inequivalent atoms are Nd at (0.000, 0.500, 0.243), Be at (0.500, 0.500, 0.000), Cu at (0.000, 0.000, 0.000), Cu at (0.000, 0.500, 0.635), Ge at (0.000, 0.000, 0.500), Ge at (0.000, 0.500, 0.872) and Ge at (0.500, 0.500, 0.500).

The calculation puts the formation enthalpy at 0 K at -0.480 eV per atom. For the theoretical density, the calculation gives 7.38 g/cm3. For the total magnetic moment, the calculation gives 0.0 μB/cell. The value obtained for the calculated volume is 17.53 Å³ per atom.

A plane-wave DFT calculation with GGA-PBE was carried out for crystalline Nd2Be3CuGe4 at its relaxed geometry.

It has space group P-4m2 (No. 115), with a = 4.144 Å, b = 4.144 Å, c = 9.771 Å, α = 90.00°, β = 90.00° and γ = 90.00°. The inequivalent atoms are Nd at (0.000, 0.500, 0.249), Be at (0.000, 0.500, 0.873), Be at (0.500, 0.500, 0.500), Cu at (0.000, 0.000, 0.500), Ge at (0.000, 0.000, 0.000), Ge at (0.000, 0.500, 0.636) and Ge at (0.500, 0.500, 0.000).

The calculation puts the formation enthalpy at 0 K at -0.405 eV per atom. For the theoretical density, the calculation gives 6.63 g/cm3. For the total magnetic moment, the calculation gives 0.0 μB/cell. The value obtained for the calculated volume is 16.78 Å³ per atom.

A plane-wave DFT calculation with GGA-PBE was carried out for crystalline BeCuGePb2 at its relaxed geometry.

It has space group P4/mmm (No. 123), with a = 5.639 Å, b = 5.639 Å, c = 4.428 Å, α = 90.00°, β = 90.00° and γ = 90.00°. The inequivalent atoms are Be at (0.000, 0.000, 0.000), Cu at (0.500, 0.500, 0.000), Ge at (0.500, 0.500, 0.500) and Pb at (0.000, 0.500, 0.500).

The calculation puts the formation enthalpy at 0 K at 0.902 eV per atom. For the theoretical density, the calculation gives 6.60 g/cm3. For the total magnetic moment, the calculation gives 0.0 μB/cell. The value obtained for the calculated volume is 28.16 Å³ per atom.

A plane-wave DFT calculation with GGA-PBE was carried out for crystalline BeCuGePd at its relaxed geometry.

It has space group F-43m (No. 216), with a = 5.922 Å, b = 5.922 Å, c = 5.922 Å, α = 90.00°, β = 90.00° and γ = 90.00°. The inequivalent atoms are Be at (0.000, 0.000, 0.000), Cu at (0.250, 0.250, 0.750), Ge at (0.000, 0.000, 0.500) and Pd at (0.250, 0.250, 0.250).

The calculation puts the formation enthalpy at 0 K at -0.122 eV per atom. For the theoretical density, the calculation gives 8.05 g/cm3. For the total magnetic moment, the calculation gives 0.0 μB/cell. The value obtained for the calculated volume is 12.98 Å³ per atom.